1.
Below is GePPtO after structural relaxation, with properties calculated at the GGA-PBE level.

Structure (POSCAR):
```
GePPtO
1.0
3.7993 0.0000 0.0000
0.0000 8.1265 0.0000
0.0000 0.0000 4.4231
O Pt P Ge
2 2 2 2
Cartesian
1.8997 3.4206 1.7716
1.8997 4.7060 3.9832
0.0000 0.7937 1.8916
0.0000 7.3329 4.1032
0.0000 1.5848 4.0842
0.0000 6.5417 1.8726
1.8997 5.1759 2.2223
1.8997 2.9506 0.0107
```

Calculated values
SG = Pmc2_1
E_tot = -5.85 eV/atom

---

2.
Below is GePPtO after structural relaxation, with properties calculated at the GGA-PBE level.

Structure (POSCAR):
```
GePPtO
1.0
-3.9548 -1.3249 0.0188
0.8718 -2.6463 -3.1037
1.7889 -5.2689 4.9949
Ge P Pt O
2 2 2 2
Cartesian
0.8944 -2.6345 2.4974
-0.6471 -4.6200 0.9550
1.6520 -4.9052 1.8439
-1.4047 -2.3493 1.6085
-0.3082 -5.5790 4.6703
0.5555 -1.6755 -1.2178
-1.5415 -1.9856 -1.5425
0.0000 0.0000 0.0000
```

Calculated values
SG = P4/nmm
E_tot = -4.97 eV/atom